Record 1
Material: LiHo2Pu
Method: DFT, PBE
State: relaxed

```
data_LiHo2Pu
_chemical_formula_sum 'Li1 Ho2 Pu1'
_space_group_name_H-M_alt 'P 1'
_space_group_IT_number 1
_space_group_name_Hall 'P 1'
_cell_length_a 3.330
_cell_length_b 3.330
_cell_length_c 12.026
_cell_angle_alpha 82.04
_cell_angle_beta 82.04
_cell_angle_gamma 60.00
loop_
_atom_site_label
_atom_site_fract_x
_atom_site_fract_y
_atom_site_fract_z
_atom_site_occupancy
Ho1 0.909 0.909 0.273 1
Ho2 0.091 0.091 0.727 1
Pu1 0.000 0.000 0.000 1
Li1 0.500 0.500 0.500 1
```

## Properties
Energy relative to the lowest polymorph listed for this composition: 211 meV per atom
Energy of formation: 0.365 eV/atom
Symmetry: R-3m (166)



Record 2
Material: BaTaPb
Method: DFT, PBE
State: relaxed

```
data_BaTaPb
_chemical_formula_sum 'Ba1 Ta1 Pb1'
_space_group_name_H-M_alt 'P 1'
_space_group_IT_number 1
_space_group_name_Hall 'P 1'
_cell_length_a 3.365
_cell_length_b 3.365
_cell_length_c 8.656
_cell_angle_alpha 90.00
_cell_angle_beta 90.00
_cell_angle_gamma 120.00
loop_
_atom_site_label
_atom_site_fract_x
_atom_site_fract_y
_atom_site_fract_z
_atom_site_occupancy
Ba1 0.000 0.000 0.986 1
Pb1 0.667 0.333 0.367 1
Ta1 0.333 0.667 0.647 1
```

## Properties
Energy relative to the lowest polymorph listed for this composition: 106 meV per atom
Energy of formation: 0.716 eV/atom
Symmetry: P3m1 (156)